First-principles (GGA-PBE) data for crystalline TbPu2O8 at its relaxed geometry, as listed in Alexandria.

The structure in extended XYZ format:
```
11
Lattice="5.044 -3.571 0.000 5.044 3.571 0.000 -0.346 0.000 4.623" Properties=species:S:1:pos:R:3 pbc="T T T"
Tb 0.000 0.000 0.000
Pu 3.477 0.000 3.416
Pu 6.264 0.000 1.207
O 3.548 1.887 3.481
O 1.539 0.000 3.425
O 6.193 1.887 1.142
O 4.224 0.000 1.103
O 5.517 0.000 3.521
O 3.548 -1.887 3.481
O 8.203 0.000 1.198
O 6.193 -1.887 1.142
```

For the volume, the calculation gives 166.5 Å³/cell. The uncorrected formation energy is -247.50 kJ/mol of atoms.